Compound: Mo3Rh
Source: the Alexandria database
Functional: PBE
Structure: optimized geometry

```
data_Mo3Rh
_cell_length_a 5.6353
_cell_length_b 5.6353
_cell_length_c 8.9853
_cell_angle_alpha 90.00
_cell_angle_beta 90.00
_cell_angle_gamma 120.00
_symmetry_space_group_name_H-M 'P 63/m m c'
_symmetry_Int_Tables_number 194
_symmetry_space_group_name_Hall '-P 6c 2c'
loop_
_atom_site_label
_atom_site_type_symbol
_atom_site_fract_x
_atom_site_fract_y
_atom_site_fract_z
_atom_site_occupancy
Mo1 Mo 0.0000 0.5000 0.0000 1
Mo2 Mo 0.1709 0.3419 0.2500 1
Rh1 Rh 0.0000 0.0000 0.0000 1
Rh2 Rh 0.3333 0.6667 0.7500 1
```

Compound: MoRh5
Source: the Alexandria database
Functional: PBE
Structure: optimized geometry

Output
- Energy above the most stable polymorph in this dataset: 38 meV per atom

```
data_MoRh5
_cell_length_a 10.076
_cell_length_b 2.738
_cell_length_c 6.467
_cell_angle_alpha 90.00
_cell_angle_beta 104.42
_cell_angle_gamma 90.00
_symmetry_space_group_name_H-M 'C 1 m 1'
_symmetry_Int_Tables_number 8
_symmetry_space_group_name_Hall 'C -2y'
loop_
_atom_site_label
_atom_site_type_symbol
_atom_site_fract_x
_atom_site_fract_y
_atom_site_fract_z
_atom_site_occupancy
Mo1 Mo 0.000 0.000 0.000 1
Rh1 Rh 0.053 0.000 0.613 1
Rh2 Rh 0.164 0.500 0.331 1
Rh3 Rh 0.220 0.500 0.947 1
Rh4 Rh 0.335 0.000 0.677 1
Rh5 Rh 0.390 0.000 0.276 1
```

Compound: Mo3Rh
Source: the Alexandria database
Functional: PBE
Structure: optimized geometry

```
data_Mo3Rh
_cell_length_a 6.828
_cell_length_b 8.550
_cell_length_c 4.262
_cell_angle_alpha 90.00
_cell_angle_beta 90.00
_cell_angle_gamma 90.00
_symmetry_space_group_name_H-M 'C m c m'
_symmetry_Int_Tables_number 63
_symmetry_space_group_name_Hall '-C 2c 2'
loop_
_atom_site_label
_atom_site_type_symbol
_atom_site_fract_x
_atom_site_fract_y
_atom_site_fract_z
_atom_site_occupancy
Mo1 Mo 0.000 0.142 0.250 1
Mo2 Mo 0.230 0.120 0.750 1
Rh1 Rh 0.000 0.396 0.750 1
```

Compound: MoRh
Source: the Alexandria database
Functional: PBE
Structure: optimized geometry

```
data_MoRh
_cell_length_a 9.619
_cell_length_b 4.434
_cell_length_c 5.578
_cell_angle_alpha 90.00
_cell_angle_beta 90.00
_cell_angle_gamma 90.00
_symmetry_space_group_name_H-M 'P n m a'
_symmetry_Int_Tables_number 62
_symmetry_space_group_name_Hall '-P 2ac 2n'
loop_
_atom_site_label
_atom_site_type_symbol
_atom_site_fract_x
_atom_site_fract_y
_atom_site_fract_z
_atom_site_occupancy
Mo1 Mo 0.080 0.250 0.249 1
Mo2 Mo 0.166 0.750 0.994 1
Rh1 Rh 0.082 0.250 0.755 1
Rh2 Rh 0.167 0.750 0.496 1
```

no.,calculated formation energy (kJ/mol of formula units),final energy (eV per atom)
1,25,-9.897
2,-74,-8.059
3,31,-9.881
4,-32,-9.258